(1)
# Pm3IrBr3

Crystalline Pm3IrBr3 at its relaxed geometry (PBE, Alexandria).

extended XYZ file:
```
14
Lattice="-1.525 -0.539 3.860 5.866 -6.523 1.407 7.787 8.365 4.244" Properties=species:S:1:pos:R:3 pbc="T T T"
Br 4.901 0.313 3.114
Pm 6.046 5.882 6.612
Pm 2.491 1.930 4.656
Ir 7.958 -2.829 3.883
Br 0.427 -0.319 3.527
Br 3.721 -3.488 4.386
Br 7.228 0.991 6.397
Pm 6.083 -4.578 2.898
Pm 5.956 -1.716 5.516
Ir 4.171 4.134 5.627
Br 8.408 4.792 5.125
Pm 6.173 3.020 3.994
Br 11.702 1.624 5.984
Pm 9.638 -0.626 4.855
```

Values from the calculation:
Raw formation energy, meV/atom: -1381
Raw total energy, eV/atom: -5.400


(2)
# Pm4IrBr3

Crystalline Pm4IrBr3 at its relaxed geometry (PBE, Alexandria).

extended XYZ file:
```
16
Lattice="5.981 0.000 0.000 0.000 6.066 0.000 0.000 0.000 12.094" Properties=species:S:1:pos:R:3 pbc="T T T"
Br 0.386 4.238 3.038
Ir 3.376 4.866 6.047
Pm 3.376 4.836 8.750
Br 0.386 4.238 9.055
Pm 0.386 1.229 9.390
Pm 3.374 1.802 6.047
Br 3.374 4.188 0.000
Pm 0.386 1.229 2.704
Br 3.377 1.827 9.085
Pm 3.376 4.836 3.343
Ir 0.385 1.200 0.000
Br 0.384 1.878 6.047
Br 3.377 1.827 3.008
Pm 3.376 1.142 0.000
Pm 0.384 4.263 0.000
Pm 0.385 4.923 6.047
```

Values from the calculation:
Raw formation energy, meV/atom: -1009
Raw total energy, eV/atom: -5.119


(3)
# PmIrBr

Crystalline PmIrBr at its relaxed geometry (PBE, Alexandria).

extended XYZ file:
```
6
Lattice="4.319 0.000 0.111 2.156 3.742 0.111 -0.006 -0.004 11.111" Properties=species:S:1:pos:R:3 pbc="T T T"
Ir 2.156 1.246 5.588
Br 4.409 2.548 1.978
Pm 6.422 3.712 7.664
Ir 4.312 2.492 5.746
Br 2.059 1.190 9.356
Pm 0.046 0.027 3.669
```

Values from the calculation:
Raw formation energy, meV/atom: -1254
Energy relative to the lowest polymorph listed for this composition, eV per formula unit: 0.00
Raw total energy, eV/atom: -6.349